1.
The following is a DFT calculation (PBE) of crystalline AcTbTmZn at its relaxed geometry.

- E_tot: -3.419 eV per atom
- Energy relative to the elements: 0.20 eV/atom
- DOS at the Fermi energy: 6.619 states/eV/f.u.

Cell: 5.504 5.504 5.504 Å, 60.00 60.00 60.00°
Fractional coordinates of all 4 atoms:
1 Tb 0.750 0.750 0.750
2 Zn 0.000 0.000 0.000
3 Tm 0.250 0.250 0.250
4 Ac 0.500 0.500 0.500

---

2.
The following is a DFT calculation (PBE) of crystalline ScNi4P at its relaxed geometry.

- E_tot: -6.066 eV per atom
- Energy relative to the elements: -0.25 eV/atom
- DOS at the Fermi energy: 5.763 states/eV/f.u.

Cell: 4.760 4.760 4.760 Å, 60.00 60.00 60.00°
Fractional coordinates of all 6 atoms:
1 Ni 0.125 0.625 0.625
2 Ni 0.625 0.625 0.625
3 Ni 0.625 0.125 0.625
4 Ni 0.625 0.625 0.125
5 Sc 0.000 0.000 0.000
6 P 0.250 0.250 0.250

---

3.
The following is a DFT calculation (PBE) of crystalline Na2CoN at its relaxed geometry.

- E_tot: -4.386 eV per atom
- DOS at the Fermi energy: 1.287 states/eV/f.u.
- Formation energy without anion corrections: 0.52 eV per formula unit

Cell: 10.532 10.532 7.641 Å, 46.44 46.44 90.00°
Fractional coordinates of all 8 atoms:
1 N 0.500 0.500 0.000
2 N 0.250 0.750 0.500
3 Na 0.875 0.116 0.750
4 Na 0.884 0.625 0.250
5 Na 0.866 0.125 0.250
6 Na 0.375 0.134 0.750
7 Co 0.000 0.000 0.000
8 Co 0.750 0.250 0.500

---

4.
The following is a DFT calculation (PBE) of crystalline AcPr4Se6 at its relaxed geometry.

- E_tot: -5.916 eV per atom
- DOS at the Fermi energy: 3.588 states/eV/f.u.
- Formation energy without anion corrections: -20.94 eV per formula unit

Cell: 4.250 7.320 21.604 Å, 90.00 90.00 106.88°
Fractional coordinates of all 22 atoms:
1 Se 0.682 0.364 0.750
2 Se 0.233 0.467 0.593
3 Se 0.233 0.467 0.907
4 Se 0.500 0.000 0.500
5 Se 0.951 0.902 0.834
6 Se 0.318 0.636 0.250
7 Se 0.049 0.098 0.166
8 Se 0.049 0.098 0.334
9 Se 0.951 0.902 0.666
10 Se 0.767 0.533 0.093
11 Se 0.767 0.533 0.407
12 Se 0.500 0.000 0.000
13 Pr 0.592 0.183 0.626
14 Pr 0.141 0.282 0.461
15 Pr 0.408 0.817 0.374
16 Pr 0.408 0.817 0.126
17 Pr 0.141 0.282 0.039
18 Pr 0.859 0.718 0.539
19 Pr 0.592 0.183 0.874
20 Pr 0.859 0.718 0.961
21 Ac 0.341 0.683 0.750
22 Ac 0.659 0.317 0.250

---

5.
The following is a DFT calculation (PBE) of crystalline RbNa2ClO at its relaxed geometry.

- E_tot: -3.460 eV per atom
- Formation energy without anion corrections: -6.89 eV per formula unit

Cell: 4.597 4.597 5.701 Å, 90.00 90.00 90.00°
Fractional coordinates of all 5 atoms:
1 O 0.000 0.000 0.000
2 Na 0.000 0.500 0.000
3 Na 0.500 0.000 0.000
4 Rb 0.000 0.000 0.500
5 Cl 0.500 0.500 0.500

---

6.
The following is a DFT calculation (PBE) of crystalline Mg3Al7Pd4 at its relaxed geometry.

- E_tot: -4.212 eV per atom
- Energy relative to the elements: -0.52 eV/atom
- DOS at the Fermi energy: 4.646 states/eV/f.u.

Cell: 4.125 7.501 8.789 Å, 70.09 76.43 74.04°
Fractional coordinates of all 14 atoms:
1 Pd 0.114 0.088 0.684
2 Pd 0.322 0.578 0.778
3 Pd 0.678 0.422 0.222
4 Pd 0.886 0.912 0.316
5 Al 0.840 0.399 0.921
6 Al 0.680 0.151 0.488
7 Al 0.491 0.228 0.789
8 Al 0.509 0.772 0.211
9 Al 0.000 0.000 0.000
10 Al 0.160 0.601 0.079
11 Al 0.320 0.849 0.512
12 Mg 0.313 0.180 0.194
13 Mg 0.687 0.820 0.806
14 Mg 0.000 0.500 0.500

---

7.
The following is a DFT calculation (PBE) of crystalline AcCd4Ga4 at its relaxed geometry.

- E_tot: -2.313 eV per atom
- Energy relative to the elements: -0.10 eV/atom
- DOS at the Fermi energy: 3.611 states/eV/f.u.

Cell: 6.538 6.538 9.973 Å, 90.00 90.00 90.00°
Fractional coordinates of all 18 atoms:
1 Ga 0.703 0.000 0.298
2 Ga 0.000 0.703 0.702
3 Ga 0.500 0.797 0.798
4 Ga 0.203 0.500 0.202
5 Ga 0.500 0.203 0.798
6 Ga 0.297 0.000 0.298
7 Ga 0.000 0.297 0.702
8 Ga 0.797 0.500 0.202
9 Cd 0.000 0.272 0.413
10 Cd 0.228 0.500 0.913
11 Cd 0.500 0.228 0.087
12 Cd 0.000 0.728 0.413
13 Cd 0.272 0.000 0.587
14 Cd 0.728 0.000 0.587
15 Cd 0.500 0.772 0.087
16 Cd 0.772 0.500 0.913
17 Ac 0.000 0.000 0.000
18 Ac 0.500 0.500 0.500

---

8.
The following is a DFT calculation (PBE) of crystalline K2HfPa2Te6 at its relaxed geometry.

- E_tot: -5.449 eV per atom
- DOS at the Fermi energy: 11.422 states/eV/f.u.
- Formation energy without anion corrections: -9.95 eV per formula unit

Cell: 7.349 7.349 9.042 Å, 98.20 98.20 119.95°
Fractional coordinates of all 11 atoms:
1 Te 0.751 0.751 0.706
2 Te 0.922 0.609 0.290
3 Te 0.078 0.391 0.710
4 Te 0.391 0.078 0.710
5 Te 0.249 0.249 0.294
6 Te 0.609 0.922 0.290
7 K 0.170 0.830 0.000
8 K 0.830 0.170 0.000
9 Pa 0.331 0.669 0.500
10 Pa 0.669 0.331 0.500
11 Hf 0.000 0.000 0.500

---

9.
The following is a DFT calculation (PBE) of crystalline RbCaTl2 at its relaxed geometry.

- E_tot: -2.128 eV per atom
- Energy relative to the elements: -0.20 eV/atom
- DOS at the Fermi energy: 4.241 states/eV/f.u.
- E above lowest polymorph: 0.00 eV/f.u.

Cell: 4.022 4.022 8.891 Å, 90.00 90.00 90.00°
Fractional coordinates of all 4 atoms:
1 Rb 0.500 0.500 0.500
2 Tl 0.000 0.000 0.201
3 Tl 0.000 0.000 0.799
4 Ca 0.500 0.500 0.000

---

10.
The following is a DFT calculation (PBE) of crystalline CeMgSi at its relaxed geometry.

- E_tot: -4.594 eV per atom
- DOS at the Fermi energy: 7.392 states/eV/f.u.
- Formation energy without anion corrections: -0.83 eV per formula unit

Cell: 4.737 4.737 4.737 Å, 60.00 60.00 60.00°
Fractional coordinates of all 3 atoms:
1 Mg 0.500 0.500 0.500
2 Si 0.250 0.250 0.250
3 Ce 0.000 0.000 0.000

---

11.
The following is a DFT calculation (PBE) of crystalline Sm2GaPd6 at its relaxed geometry.

- E_tot: -5.643 eV per atom
- Energy relative to the elements: -0.80 eV/atom
- DOS at the Fermi energy: 3.182 states/eV/f.u.
- E above lowest polymorph: 0.00 eV/f.u.

Cell: 5.749 5.715 6.110 Å, 77.84 90.00 120.20°
Fractional coordinates of all 9 atoms:
1 Pd 0.875 0.749 0.696
2 Pd 0.392 0.263 0.686
3 Pd 0.125 0.251 0.304
4 Pd 0.871 0.263 0.686
5 Pd 0.608 0.737 0.314
6 Pd 0.129 0.737 0.314
7 Sm 0.357 0.714 0.837
8 Sm 0.643 0.286 0.163
9 Ga 0.000 0.000 0.000

---

12.
The following is a DFT calculation (PBE) of crystalline TiAl2NiAs at its relaxed geometry.

- E_tot: -4.226 eV per atom
- Energy relative to the elements: 0.94 eV/atom
- DOS at the Fermi energy: 5.017 states/eV/f.u.

Cell: 4.946 4.332 4.946 Å, 90.00 90.00 90.00°
Fractional coordinates of all 5 atoms:
1 Al 0.500 0.000 0.000
2 Al 0.000 0.000 0.500
3 As 0.500 0.500 0.500
4 Ti 0.000 0.000 0.000
5 Ni 0.000 0.500 0.000